Material: BaDyP2Pd4
Method: DFT, PBE
State: optimized geometry Values from VASP.

formation enthalpy at 0 K	-761	meV/atom
volume	174.0	Å³/cell
final energy	-0.203	Ha/atom
space group	No. 123

Quantum ESPRESSO input file:
```
&SYSTEM
  ibrav = 0, nat = 8, ntyp = 4
/
ATOMIC_SPECIES
Dy 162.50 Dy.upf
Pd 106.42 Pd.upf
Ba 137.33 Ba.upf
P 30.97 P.upf
ATOMIC_POSITIONS crystal
Dy 0.000 0.000 0.000
Pd 0.000 0.500 0.202
Pd 0.500 0.000 0.798
Pd 0.500 0.000 0.202
Pd 0.000 0.500 0.798
Ba 0.000 0.000 0.500
P 0.500 0.500 0.685
P 0.500 0.500 0.315
CELL_PARAMETERS angstrom
-1.064 -3.656 1.633
-0.620 -1.519 -3.804
9.677 -2.989 -0.383
```

Material: BaDyP2S8
Method: DFT, PBE
State: optimized geometry Values from VASP.

volume	296.7	Å³/cell
final energy	-0.186	Ha/atom
uncorrected formation energy	-0.851	eV per atom
space group	No. 147

Quantum ESPRESSO input file:
```
&SYSTEM
  ibrav = 0, nat = 12, ntyp = 4
/
ATOMIC_SPECIES
S 32.06 S.upf
P 30.97 P.upf
Ba 137.33 Ba.upf
Dy 162.50 Dy.upf
ATOMIC_POSITIONS crystal
S 0.333 0.667 0.972
S 0.002 0.348 0.691
S 0.346 0.998 0.691
S 0.652 0.654 0.691
S 0.654 0.002 0.309
S 0.348 0.346 0.309
S 0.998 0.652 0.309
S 0.667 0.333 0.028
P 0.667 0.333 0.248
P 0.333 0.667 0.752
Ba 0.000 0.000 0.000
Dy 0.000 0.000 0.500
CELL_PARAMETERS angstrom
-1.978 -5.722 -0.573
5.807 1.080 1.448
-2.217 -0.134 8.994
```

Material: Ba3Dy2PaSb6
Method: DFT, PBE
State: optimized geometry Values from VASP.

volume	436.3	Å³/cell
final energy	-0.185	Ha/atom
uncorrected formation energy	-0.929	eV per atom
space group	No. 12

Quantum ESPRESSO input file:
```
&SYSTEM
  ibrav = 0, nat = 12, ntyp = 4
/
ATOMIC_SPECIES
Sb 121.76 Sb.upf
Ba 137.33 Ba.upf
Pa 231.04 Pa.upf
Dy 162.50 Dy.upf
ATOMIC_POSITIONS crystal
Sb 0.603 0.931 0.792
Sb 0.069 0.397 0.208
Sb 0.397 0.069 0.208
Sb 0.743 0.743 0.210
Sb 0.931 0.603 0.792
Sb 0.257 0.257 0.790
Ba 0.831 0.169 0.500
Ba 0.500 0.500 0.500
Ba 0.169 0.831 0.500
Pa 0.000 0.000 0.000
Dy 0.666 0.334 0.000
Dy 0.334 0.666 0.000
CELL_PARAMETERS angstrom
-3.650 4.902 -5.141
1.580 -7.541 -2.102
-6.332 -1.380 5.249
```

- The highest volume belongs to which entry?
  Ba3Dy2PaSb6